CsSi3P3: optimized geometry, PBE.

a = 7.7854 Å, b = 7.7854 Å, c = 22.6670 Å
α = 90.00°, β = 90.00°, γ = 120.00°
Space group R-3 (No. 148, hexagonal axes)
Symmetry-distinct sites (fractional):
Cs  0.0000  0.0000  0.1635 (multiplicity 6)
Si  0.0149  0.2894  0.6311 (multiplicity 18)
P  0.0156  0.3032  0.3943 (multiplicity 18)

Calculated values
* ρ: 2.60 g/cm3
* E_form (uncorrected): 3 kJ per mole of atoms
* Fermi-level density of states: 0.83 states/eV/f.u.

CsSiP2: optimized geometry, PBE.

a = 9.971 Å, b = 6.331 Å, c = 7.075 Å
α = 90.00°, β = 100.11°, γ = 90.00°
Space group P2_1/c (No. 14)
Symmetry-distinct sites (fractional):
Cs  0.138  0.247  0.282 (multiplicity 4)
Si  0.416  0.659  0.617 (multiplicity 4)
P  0.200  0.748  0.052 (multiplicity 4)
P  0.453  0.207  0.114 (multiplicity 4)

Calculated values
* ρ: 3.37 g/cm3
* E_form (uncorrected): -13 kJ per mole of atoms
* Fermi-level density of states: 3.11 states/eV/f.u.

CsSi2P2: optimized geometry, PBE.

a = 4.464 Å, b = 4.464 Å, c = 12.781 Å
α = 90.00°, β = 90.00°, γ = 90.00°
Space group I4/mmm (No. 139)
Symmetry-distinct sites (fractional):
Cs  0.000  0.000  0.000 (multiplicity 2)
Si  0.000  0.500  0.250 (multiplicity 4)
P  0.000  0.000  0.320 (multiplicity 4)

Calculated values
* ρ: 3.27 g/cm3
* distance to the lowest polymorph of the same formula: 0.000 eV/atom
* E_form (uncorrected): -9 kJ per mole of atoms
* Fermi-level density of states: 1.28 states/eV/f.u.

Cs2SiP: optimized geometry, PBE.

a = 10.891 Å, b = 10.981 Å, c = 10.104 Å
α = 90.00°, β = 90.00°, γ = 90.00°
Space group Cmce (No. 64)
Symmetry-distinct sites (fractional):
Cs  0.000  0.001  0.179 (multiplicity 8)
Cs  0.250  0.249  0.750 (multiplicity 8)
Si  0.000  0.144  0.501 (multiplicity 8)
P  0.153  0.000  0.500 (multiplicity 8)

Calculated values
* ρ: 3.57 g/cm3
* distance to the lowest polymorph of the same formula: 0.000 eV/atom
* E_form (uncorrected): -23 kJ per mole of atoms
* Fermi-level density of states: 0.86 states/eV/f.u.

CsVSiP2: optimized geometry, PBE.

a = 4.682 Å, b = 4.682 Å, c = 5.557 Å
α = 90.00°, β = 90.00°, γ = 90.00°
Space group P4/mmm (No. 123)
Symmetry-distinct sites (fractional):
Cs  0.000  0.000  0.000 (multiplicity 1)
V  0.500  0.500  0.000 (multiplicity 1)
Si  0.000  0.000  0.500 (multiplicity 1)
P  0.000  0.500  0.500 (multiplicity 2)

Calculated values
* ρ: 3.73 g/cm3
* E_form (uncorrected): 141 kJ per mole of atoms
* Fermi-level density of states: 6.49 states/eV/f.u.

CsSnP: optimized geometry, PBE.

a = 4.0970 Å, b = 4.0970 Å, c = 21.3975 Å
α = 90.00°, β = 90.00°, γ = 120.00°
Space group R3m (No. 160, hexagonal axes)
Symmetry-distinct sites (fractional):
Cs  0.0000  0.0000  0.0000 (multiplicity 3)
Sn  0.0000  0.0000  0.1839 (multiplicity 3)
P  0.0000  0.0000  0.7912 (multiplicity 3)

Calculated values
* ρ: 4.53 g/cm3
* ΔE_f: -290 meV/atom

> What is the formula in the fifth record?

CsVSiP2

Copy entry 1 word for word.
CsSi3P3: optimized geometry, PBE.

a = 7.7854 Å, b = 7.7854 Å, c = 22.6670 Å
α = 90.00°, β = 90.00°, γ = 120.00°
Space group R-3 (No. 148, hexagonal axes)
Symmetry-distinct sites (fractional):
Cs  0.0000  0.0000  0.1635 (multiplicity 6)
Si  0.0149  0.2894  0.6311 (multiplicity 18)
P  0.0156  0.3032  0.3943 (multiplicity 18)

Calculated values
* ρ: 2.60 g/cm3
* E_form (uncorrected): 3 kJ per mole of atoms
* Fermi-level density of states: 0.83 states/eV/f.u.